w | # TaTi2W

A relaxed TaTi2W crystal (PBE, Alexandria).

The structure in POSCAR format:
```
TaTi2W
1.0
-1.0608 0.1826 -2.9736
-2.9789 -0.1105 1.0559
-0.0915 6.7155 0.4451
Ti Ta W
2 1 1
Direct
0.0000 0.0000 0.7694
0.0000 0.0000 0.2306
0.5000 0.5000 0.5000
0.5000 0.5000 0.0000
```

***

x | # TaTi2W

A relaxed TaTi2W crystal (PBE, Alexandria).

The structure in POSCAR format:
```
TaTi2W
1.0
4.5797 0.0000 0.0001
0.0000 4.2476 -1.6623
-0.0002 0.4742 13.8627
Ti W Ta
8 4 4
Direct
0.2500 0.8059 0.8174
0.7500 0.1941 0.1826
0.2501 0.3313 0.3189
0.7499 0.3314 0.8188
0.7499 0.6687 0.6811
0.2501 0.6686 0.1812
0.7499 0.8060 0.3175
0.2501 0.1940 0.6825
0.2500 0.0580 0.0593
0.7500 0.9420 0.9407
0.7500 0.0581 0.5593
0.2500 0.9419 0.4407
0.2500 0.5628 0.5609
0.7500 0.4372 0.4391
0.7500 0.5627 0.0609
0.2500 0.4373 0.9391
```

***

Sorted by energy, starting with the most stable: x, w.